(1)
# Hf2UOs

Hf2UOs after structural relaxation (PBE-GGA, the Alexandria database).

Results
The calculation puts the energy of formation from the pure elements at 79 meV/atom. The value obtained for the spin magnetization is 1.13 μB/f.u. For the energy above the most stable polymorph in this dataset, the calculation gives 226 meV/atom.

a = 4.7595 Å, b = 4.7595 Å, c = 4.7594 Å
α = 60.00°, β = 60.00°, γ = 60.00°
With the nearest neighbours (Å) after each atom.
Fractional positions:
1 Hf 0.7500 0.7500 0.7500  4 U 2.91, 4 Os 2.91
2 Hf 0.2500 0.2500 0.2500  4 U 2.91, 4 Os 2.91
3 U 0.5000 0.5000 0.5000  8 Hf 2.91
4 Os 0.0000 0.0000 0.0000  8 Hf 2.91

---

(2)
# NaBi3Se

NaBi3Se after structural relaxation (PBE-GGA, the Alexandria database).

Results
The value obtained for the spin magnetization is 0.00 μB/f.u. The value obtained for the formation energy without anion corrections is 0.262 eV/atom. For the energy above the most stable polymorph in this dataset, the calculation gives 0 meV/atom.

a = 5.6878 Å, b = 5.6878 Å, c = 5.6878 Å
α = 90.00°, β = 90.00°, γ = 90.00°
With the nearest neighbours (Å) after each atom.
Fractional positions:
1 Se 0.0000 0.0000 0.0000  6 Bi 2.84
2 Bi 0.5000 0.0000 0.0000  2 Se 2.84
3 Bi 0.0000 0.0000 0.5000  2 Se 2.84
4 Bi 0.0000 0.5000 0.0000  2 Se 2.84
5 Na 0.5000 0.5000 0.5000  12 Bi 4.02

---

(3)
# BeZnCdIr

BeZnCdIr after structural relaxation (PBE-GGA, the Alexandria database).

Results
The calculation puts the energy of formation from the pure elements at -184 meV/atom. The value obtained for the spin magnetization is 0.00 μB/f.u. For the energy above the most stable polymorph in this dataset, the calculation gives 0 meV/atom.

a = 2.9527 Å, b = 2.9527 Å, c = 6.7820 Å
α = 90.00°, β = 90.00°, γ = 90.00°
With the nearest neighbours (Å) after each atom.
Fractional positions:
1 Cd 0.0000 0.0000 0.2710  4 Be 2.89, 1 Ir 2.94, 4 Cd 2.95, 4 Zn 2.99
2 Ir 0.0000 0.0000 0.8371  4 Be 2.29
3 Zn 0.5000 0.5000 0.5865  1 Be 2.65, 4 Ir 2.69, 4 Zn 2.95
4 Be 0.5000 0.5000 0.9770  4 Ir 2.29

---

(4)
# SrPu3O8

SrPu3O8 after structural relaxation (PBE-GGA, the Alexandria database).

Results
The value obtained for the spin magnetization is 10.00 μB/f.u. The value obtained for the formation energy without anion corrections is -2.777 eV/atom.

a = 6.8942 Å, b = 6.8942 Å, c = 7.3602 Å
α = 62.07°, β = 62.07°, γ = 60.00°
With the nearest neighbours (Å) after each atom.
Fractional positions:
1 O 0.2554 0.2554 0.8209  2 Pu 2.15
2 O 0.7229 0.7229 0.8312  3 Pu 2.25
3 O 0.3317 0.7446 0.1791  2 Pu 2.15
4 O 0.2554 0.6683 0.8209  2 Pu 2.15
5 O 0.2771 0.2771 0.1688  3 Pu 2.25
6 O 0.6683 0.2554 0.8209  2 Pu 2.15
7 O 0.7446 0.3317 0.1791  2 Pu 2.15
8 O 0.7446 0.7446 0.1791  2 Pu 2.15
9 Pu 0.0000 0.5000 0.0000  6 O 2.15-2.25
10 Pu 0.5000 0.5000 0.0000  6 O 2.15-2.25
11 Pu 0.5000 0.0000 0.0000  6 O 2.15-2.25
12 Sr 0.5000 0.5000 0.5000  6 O 2.58